Record 1
Below is Ni2AgIr2 after structural relaxation, with properties calculated at the PBE level.

Cell lengths 7.339, 7.339, 2.670 Å; angles 90.00, 90.00, 90.00 degrees
Element x y z (fractional)
Ni: 0.172 0.328 0.000
Ni: 0.328 0.828 0.000
Ni: 0.672 0.172 0.000
Ni: 0.828 0.672 0.000
Ag: 0.000 0.000 0.500
Ag: 0.500 0.500 0.500
Ir: 0.125 0.625 0.500
Ir: 0.375 0.125 0.500
Ir: 0.625 0.875 0.500
Ir: 0.875 0.375 0.500

## Properties
Space-group type: P4/mbm, No. 127
DFT formation energy in meV/atom: 275
Total energy in eV/atom: -6.15



Record 2
Below is IrRh2Cl after structural relaxation, with properties calculated at the PBE level.

Cell lengths 4.687, 4.687, 2.759 Å; angles 90.00, 90.00, 90.15 degrees
Element x y z (fractional)
Ir: 0.000 0.000 0.000
Rh: 0.000 0.500 0.500
Rh: 0.500 0.000 0.500
Cl: 0.500 0.500 0.000

## Properties
Energy relative to the elements, uncorrected in eV per atom: 0.627
Energy relative to the lowest polymorph listed for this composition in eV per atom: 0.353
Space-group type: Cmmm, No. 65
Total energy in eV/atom: -5.73



Record 3
Below is NdNpS4 after structural relaxation, with properties calculated at the PBE level.

Cell lengths 6.351, 6.351, 4.156 Å; angles 90.00, 90.00, 90.88 degrees
Element x y z (fractional)
Nd: 0.000 0.000 0.000
Np: 0.500 0.500 0.500
S: 0.211 0.211 0.500
S: 0.318 0.682 0.000
S: 0.682 0.318 0.000
S: 0.789 0.789 0.500

## Properties
Energy relative to the elements, uncorrected in eV per atom: -1.359
Space-group type: Cmmm, No. 65
Total energy in eV/atom: -7.06



Record 4
Below is Tb3Mn2Ni7 after structural relaxation, with properties calculated at the PBE level.

Cell lengths 8.623, 8.623, 8.623 Å; angles 34.25, 34.25, 34.25 degrees
Element x y z (fractional)
Tb: 0.000 0.000 0.000
Tb: 0.139 0.139 0.139
Tb: 0.861 0.861 0.861
Mn: 0.333 0.333 0.333
Mn: 0.667 0.667 0.667
Ni: 0.084 0.581 0.581
Ni: 0.419 0.419 0.916
Ni: 0.419 0.916 0.419
Ni: 0.500 0.500 0.500
Ni: 0.581 0.084 0.581
Ni: 0.581 0.581 0.084
Ni: 0.916 0.419 0.419

## Properties
Space-group type: R-3m, No. 166
DFT formation energy in meV/atom: -335
Total energy in eV/atom: -6.39



Record 5
Below is K3Pu3MgS8 after structural relaxation, with properties calculated at the PBE level.

Cell lengths 8.732, 8.732, 8.732 Å; angles 54.39, 54.39, 54.39 degrees
Element x y z (fractional)
K: 0.000 0.500 0.500
K: 0.500 0.000 0.500
K: 0.500 0.500 0.000
Pu: 0.000 0.000 0.500
Pu: 0.000 0.500 0.000
Pu: 0.500 0.000 0.000
Mg: 0.500 0.500 0.500
S: 0.231 0.729 0.729
S: 0.233 0.233 0.233
S: 0.271 0.271 0.769
S: 0.271 0.769 0.271
S: 0.729 0.231 0.729
S: 0.729 0.729 0.231
S: 0.767 0.767 0.767
S: 0.769 0.271 0.271

## Properties
Energy relative to the elements, uncorrected in eV per atom: -1.468
Space-group type: R-3m, No. 166
Total energy in eV/atom: -6.86



Record 6
Below is La3Mn4 after structural relaxation, with properties calculated at the PBE level.

Cell lengths 6.501, 6.501, 5.000 Å; angles 90.00, 90.00, 120.00 degrees
Element x y z (fractional)
La: 0.000 0.500 0.000
La: 0.500 0.000 0.000
La: 0.500 0.500 0.000
Mn: 0.000 0.000 0.249
Mn: 0.000 0.000 0.751
Mn: 0.333 0.667 0.500
Mn: 0.667 0.333 0.500

## Properties
Space-group type: P6/mmm, No. 191
DFT formation energy in meV/atom: 837
Total energy in eV/atom: -6.51



Record 7
Below is Ce3SiRu3 after structural relaxation, with properties calculated at the PBE level.

Cell lengths 8.186, 8.186, 5.356 Å; angles 90.00, 90.00, 120.00 degrees
Element x y z (fractional)
Ce: 0.077 0.675 0.250
Ce: 0.325 0.402 0.250
Ce: 0.402 0.077 0.750
Ce: 0.598 0.923 0.250
Ce: 0.675 0.598 0.750
Ce: 0.923 0.325 0.750
Si: 0.333 0.667 0.750
Si: 0.667 0.333 0.250
Ru: 0.071 0.727 0.750
Ru: 0.273 0.344 0.750
Ru: 0.344 0.071 0.250
Ru: 0.656 0.929 0.750
Ru: 0.727 0.656 0.250
Ru: 0.929 0.273 0.250

## Properties
Energy relative to the elements, uncorrected in eV per atom: -0.249
Space-group type: P6_3/m, No. 176
Total energy in eV/atom: -7.54



Record 8
Below is DySc2Rh3 after structural relaxation, with properties calculated at the PBE level.

Cell lengths 3.288, 3.288, 9.930 Å; angles 90.00, 90.00, 90.00 degrees
Element x y z (fractional)
Dy: 0.000 0.000 0.000
Sc: 0.000 0.000 0.339
Sc: 0.000 0.000 0.661
Rh: 0.500 0.500 0.181
Rh: 0.500 0.500 0.500
Rh: 0.500 0.500 0.819

## Properties
Space-group type: P4/mmm, No. 123
DFT formation energy in meV/atom: -952
Total energy in eV/atom: -7.51



What did the third record say?
Below is NdNpS4 after structural relaxation, with properties calculated at the PBE level.

Cell lengths 6.351, 6.351, 4.156 Å; angles 90.00, 90.00, 90.88 degrees
Element x y z (fractional)
Nd: 0.000 0.000 0.000
Np: 0.500 0.500 0.500
S: 0.211 0.211 0.500
S: 0.318 0.682 0.000
S: 0.682 0.318 0.000
S: 0.789 0.789 0.500

## Properties
Energy relative to the elements, uncorrected in eV per atom: -1.359
Space-group type: Cmmm, No. 65
Total energy in eV/atom: -7.06